This record from the Alexandria database describes an optimized crystal structure of YPICl2. The functional is GGA-PBE.

Results
The formation energy (no corrections) is 290.9 meV/atom. Its space group is P4/mmm.

a b c (Å): 5.2821 5.2821 5.4413
angles (deg): 90.00 90.00 90.00
Fractional coordinates of all 5 atoms:
Y (0.0000, 0.0000, 0.0000)
P (0.5000, 0.5000, 0.0000)
I (0.5000, 0.5000, 0.5000)
Cl (0.0000, 0.5000, 0.5000)
Cl (0.5000, 0.0000, 0.5000)